This record from Alexandria via LeMat-Bulk describes KPuCrO4 after structural relaxation. The functional is PBE+U.

abc: 6.6817 6.6817 6.6817
angles: 122.32 115.13 92.33
Positions (direct):
1 K 0.3947 0.1447 0.2500
2 K 0.6053 0.8553 0.7500
3 Pu 0.0000 0.5000 0.5000
4 Pu 0.5000 0.5000 0.0000
5 Cr 0.0000 0.0000 0.5000
6 Cr 0.0000 0.5000 0.0000
7 O 0.1697 0.7346 0.4351
8 O 0.2005 0.2654 0.9351
9 O 0.2251 0.2647 0.5396
10 O 0.2251 0.6854 0.9604
11 O 0.7749 0.3146 0.0396
12 O 0.7749 0.7353 0.4604
13 O 0.7995 0.7346 0.0649
14 O 0.8303 0.2654 0.5649

Values from the calculation:
The value obtained for the total energy is -58.535 eV/f.u. The volume comes out at 106.9 Å³/f.u. For the density of states at the Fermi level, the calculation gives 9.73 states/eV/cell.